(1)
DFT (PBE) results for an optimized crystal structure of SrLaTa.

M_tot: 0.000 μB/atom
Calculated volume: 30.4 A^3/atom
Calculated total energy: -16.19 eV/cell
Excess energy over the best structure of this formula in the dataset: 94 meV per atom

a = 3.4226 Å, b = 3.4226 Å, c = 8.9917 Å
α = 90.00°, β = 90.00°, γ = 120.00°
Last column: nearest neighbours and their distance in Å.
Fractional positions:
Sr  0.0000  0.0000  0.0000  3 Ta 3.38, 6 Sr 3.42
La  0.3333  0.6667  0.5851  3 Ta 3.20, 6 La 3.42
Ta  0.6667  0.3333  0.3047  3 La 3.20, 3 Sr 3.38, 6 Ta 3.42

(2)
DFT (PBE) results for an optimized crystal structure of Pr4HgAu.

M_tot: 0.000 μB/atom
Calculated volume: 32.2 A^3/atom
Calculated total energy: -49.79 eV/cell
Excess energy over the best structure of this formula in the dataset: 0 meV per atom

a = 6.8266 Å, b = 7.2090 Å, c = 8.2214 Å
α = 90.00°, β = 107.51°, γ = 90.00°
Last column: nearest neighbours and their distance in Å.
Fractional positions:
Pr  0.0096  0.0018  0.2433  2 Au 3.06-3.07, 2 Hg 3.20
Pr  0.0096  0.4982  0.2433  2 Au 3.06-3.07, 2 Hg 3.20
Pr  0.4038  0.7500  0.0862  1 Au 3.05, 1 Hg 3.14
Pr  0.4085  0.7500  0.6179  1 Au 3.09, 1 Hg 3.20
Pr  0.5915  0.2500  0.3821  1 Au 3.09, 1 Hg 3.20
Pr  0.5962  0.2500  0.9138  1 Au 3.05, 1 Hg 3.14
Pr  0.9904  0.5018  0.7567  2 Au 3.06-3.07, 2 Hg 3.20
Pr  0.9904  0.9982  0.7567  2 Au 3.06-3.07, 2 Hg 3.20
Hg  0.2405  0.2500  0.5664  6 Pr 3.14-3.20
Hg  0.7595  0.7500  0.4336  6 Pr 3.14-3.20
Au  0.2276  0.2500  0.0507  6 Pr 3.05-3.09
Au  0.7724  0.7500  0.9493  6 Pr 3.05-3.09

(3)
DFT (PBE) results for an optimized crystal structure of Ac4InTe5.

M_tot: 0.000 μB/atom
Calculated volume: 38.5 A^3/atom
Calculated total energy: -48.00 eV/cell

a = 19.9660 Å, b = 19.9660 Å, c = 19.9660 Å
α = 13.63°, β = 13.63°, γ = 13.63°
Last column: nearest neighbours and their distance in Å.
Fractional positions:
Ac  0.0979  0.0979  0.0979  6 Te 3.34-3.36
Ac  0.3008  0.3008  0.3008  6 Te 3.35
Ac  0.6992  0.6992  0.6992  6 Te 3.35
Ac  0.9021  0.9021  0.9021  6 Te 3.34-3.36
In  0.5000  0.5000  0.5000  6 Te 3.49
Te  0.0000  0.0000  0.0000  6 Ac 3.35
Te  0.2032  0.2032  0.2032  3 Ac 3.34, 3 In 3.49
Te  0.3985  0.3985  0.3985  6 Ac 3.35-3.36
Te  0.6015  0.6015  0.6015  6 Ac 3.35-3.36
Te  0.7968  0.7968  0.7968  3 Ac 3.34, 3 In 3.49

(4)
DFT (PBE) results for an optimized crystal structure of Nd2HfIn.

M_tot: 0.000 μB/atom
Calculated volume: 27.5 A^3/atom
Calculated total energy: -22.59 eV/cell
Excess energy over the best structure of this formula in the dataset: 0 meV per atom

a = 4.7632 Å, b = 4.7632 Å, c = 4.8413 Å
α = 90.00°, β = 90.00°, γ = 90.00°
Last column: nearest neighbours and their distance in Å.
Fractional positions:
Nd  0.0000  0.5000  0.0000  4 Nd 3.37, 4 In 3.40, 4 Hf 3.40
Nd  0.5000  0.0000  0.0000  4 Nd 3.37, 4 In 3.40, 4 Hf 3.40
Hf  0.0000  0.0000  0.5000  4 In 3.37, 8 Nd 3.40
In  0.5000  0.5000  0.5000  4 Hf 3.37, 8 Nd 3.40

(5)
DFT (PBE) results for an optimized crystal structure of Tb12NdNi6.

M_tot: 0.000 μB/atom
Calculated volume: 25.5 A^3/atom
Calculated total energy: -99.45 eV/cell

a = 8.5644 Å, b = 8.5644 Å, c = 8.5644 Å
α = 109.47°, β = 109.47°, γ = 109.47°
Last column: nearest neighbours and their distance in Å.
Fractional positions:
Tb  0.1274  0.3117  0.8157  3 Ni 2.66-2.88
Tb  0.1843  0.4960  0.3117  3 Ni 2.66-2.88
Tb  0.1843  0.8726  0.6883  3 Ni 2.66-2.88
Tb  0.3117  0.1843  0.4960  3 Ni 2.66-2.88
Tb  0.3117  0.8157  0.1274  3 Ni 2.66-2.88
Tb  0.4960  0.3117  0.1843  3 Ni 2.66-2.88
Tb  0.5040  0.6883  0.8157  3 Ni 2.66-2.88
Tb  0.6883  0.1843  0.8726  3 Ni 2.66-2.88
Tb  0.6883  0.8157  0.5040  3 Ni 2.66-2.88
Tb  0.8157  0.1274  0.3117  3 Ni 2.66-2.88
Tb  0.8157  0.5040  0.6883  3 Ni 2.66-2.88
Tb  0.8726  0.6883  0.1843  3 Ni 2.66-2.88
Nd  0.0000  0.0000  0.0000  12 Tb 3.58
Ni  0.1237  0.5000  0.6237  1 Ni 2.45, 2 Tb 2.66
Ni  0.3763  0.8763  0.5000  1 Ni 2.45, 2 Tb 2.66
Ni  0.5000  0.3763  0.8763  1 Ni 2.45, 2 Tb 2.66
Ni  0.5000  0.6237  0.1237  1 Ni 2.45, 2 Tb 2.66
Ni  0.6237  0.1237  0.5000  1 Ni 2.45, 2 Tb 2.66
Ni  0.8763  0.5000  0.3763  1 Ni 2.45, 2 Tb 2.66

(6)
DFT (PBE) results for an optimized crystal structure of MnCuTe2.

M_tot: 1.062 μB/atom
Calculated volume: 22.6 A^3/atom
Calculated total energy: -18.42 eV/cell

a = 5.2541 Å, b = 5.2541 Å, c = 5.2541 Å
α = 135.29°, β = 112.60°, γ = 84.55°
Last column: nearest neighbours and their distance in Å.
Fractional positions:
Mn  0.0000  0.0000  0.0000  4 Te 2.94
Cu  0.5000  0.5000  0.0000  4 Te 2.65
Te  0.2766  0.7766  0.5000  2 Cu 2.65, 2 Mn 2.94
Te  0.7234  0.2234  0.5000  2 Cu 2.65, 2 Mn 2.94